(1)
{"formula": "MgCdHg2", "functional": "SCAN", "state": "single point on PBEsol structure", "lattice": [[4.9805, -1.7972, 0.0000], [4.9805, 1.7972, 0.0000], [-0.8702, 0.0000, 4.8036]], "species": ["Mg", "Cd", "Hg", "Hg"], "fractional_positions": [[0.0000, 0.0000, 0.0000], [0.2479, 0.2479, 0.7100], [0.5000, 0.5000, 0.5004], [0.7430, 0.7430, 0.1964]], "dos_at_fermi_per_ev_cell": 1.2, "formation_energy_ev_per_fu": -0.623}

(2)
{"formula": "ScTiIr3", "functional": "SCAN", "state": "single point on PBEsol structure", "lattice": [[4.5176, 0.0000, 0.0000], [0.0000, 4.5176, 0.0000], [0.0000, 0.0000, 4.5176]], "species": ["Sc", "Ti", "Ir", "Ir", "Ir"], "fractional_positions": [[0.0000, 0.0000, 0.0000], [0.5000, 0.5000, 0.5000], [0.0000, 0.5000, 0.5000], [0.5000, 0.0000, 0.5000], [0.5000, 0.5000, 0.0000]], "dos_at_fermi_per_ev_cell": 2.2, "formation_energy_ev_per_fu": 1.737}